Compound: CsTcPt2Pb
Source: Alexandria via LeMat-Bulk
Functional: PBE
Structure: relaxed

Output
DOS at the Fermi energy ... 6.0 states/eV/cell
Theoretical density ... 9.8 g/cm3
Formation energy from the elements ... 2.136 eV/atom
Calculated total energy ... -16.33 eV per formula unit
Total moment ... 2.34 μB/f.u.

a b c (Å): 5.242 5.242 5.118
angles (deg): 90.00 90.00 90.00
Space group P4/mmm (No. 123)
Symmetry-distinct sites (fractional):
Cs 0.000 0.000 0.000 x1
Tc 0.000 0.000 0.500 x1
Pt 0.000 0.500 0.000 x2
Pb 0.500 0.500 0.500 x1

=====

Compound: Cd2CuTe2
Source: Alexandria via LeMat-Bulk
Functional: PBE
Structure: relaxed

Output
Raw formation energy ... 41 meV/atom
DOS at the Fermi energy ... 4.2 states/eV/cell
Theoretical density ... 6.6 g/cm3
Calculated total energy ... -12.01 eV per formula unit
Total moment ... 0.00 μB/f.u.

a b c (Å): 7.830 7.830 4.434
angles (deg): 90.00 90.00 90.00
Space group P4/mbm (No. 127)
Symmetry-distinct sites (fractional):
Cd 0.126 0.374 0.000 x4
Cu 0.000 0.000 0.500 x2
Te 0.205 0.705 0.500 x4

=====

Compound: Hf4BN
Source: Alexandria via LeMat-Bulk
Functional: PBE
Structure: relaxed

Output
Raw formation energy ... -625 meV/atom
DOS at the Fermi energy ... 8.6 states/eV/cell
Theoretical density ... 12.7 g/cm3
Calculated total energy ... -58.56 eV per formula unit
Total moment ... 0.00 μB/f.u.

a b c (Å): 5.754 5.775 5.812
angles (deg): 90.00 94.87 90.00
Space group P2_1/c (No. 14)
Symmetry-distinct sites (fractional):
Hf 0.135 0.151 0.172 x4
Hf 0.340 0.647 0.122 x4
B 0.500 0.000 0.000 x2
N 0.000 0.000 0.500 x2

=====

Compound: InIrBr2
Source: Alexandria via LeMat-Bulk
Functional: PBE
Structure: relaxed

Output
Raw formation energy ... 742 meV/atom
DOS at the Fermi energy ... 8.4 states/eV/cell
Theoretical density ... 9.0 g/cm3
Excess energy over the best structure of this formula in the dataset ... 799.5 meV per atom
Calculated total energy ... -11.98 eV per formula unit
Total moment ... 0.35 μB/f.u.

a b c (Å): 4.629 4.629 8.026
angles (deg): 90.00 90.00 90.00
Space group I-4m2 (No. 119)
Symmetry-distinct sites (fractional):
In 0.000 0.000 0.000 x2
Ir 0.000 0.500 0.750 x2
Br 0.000 0.000 0.500 x2
Br 0.000 0.500 0.250 x2

=====

Compound: Al2TlHg
Source: Alexandria via LeMat-Bulk
Functional: PBE
Structure: relaxed

Output
DOS at the Fermi energy ... 2.1 states/eV/cell
Theoretical density ... 8.1 g/cm3
Formation energy from the elements ... 0.215 eV/atom
Calculated total energy ... -9.29 eV per formula unit
Total moment ... 0.00 μB/f.u.

a b c (Å): 8.433 3.456 6.642
angles (deg): 90.00 104.25 90.00
Space group C2/m (No. 12)
Symmetry-distinct sites (fractional):
Al 0.248 0.000 0.197 x4
Tl 0.000 0.000 0.500 x2
Hg 0.000 0.500 0.000 x2

=====

Compound: SiNiAsP
Source: Alexandria via LeMat-Bulk
Functional: PBE
Structure: relaxed

Output
Raw formation energy ... -67 meV/atom
DOS at the Fermi energy ... 1.0 states/eV/cell
Theoretical density ... 4.9 g/cm3
Excess energy over the best structure of this formula in the dataset ... 110.8 meV per atom
Calculated total energy ... -21.53 eV per formula unit
Total moment ... 0.00 μB/f.u.

a b c (Å): 3.662 3.905 5.270
angles (deg): 96.04 96.41 117.36
Space group P1 (No. 1)
Symmetry-distinct sites (fractional):
Si 0.000 0.000 0.000 x1
Ni 0.604 0.115 0.306 x1
As 0.591 0.300 0.767 x1
P 0.300 0.507 0.366 x1